No. 1
First-principles (PBE) data for an optimized crystal structure of SmMgHg, as listed in OQMD via LeMat-Bulk.

a = 7.017 Å, b = 7.017 Å, c = 7.017 Å
α = 90.00°, β = 90.00°, γ = 90.00°
Fractional positions:
1 Sm 0.000 0.000 0.000
2 Sm 0.000 0.500 0.500
3 Sm 0.500 0.000 0.500
4 Sm 0.500 0.500 0.000
5 Mg 0.000 0.000 0.500
6 Mg 0.000 0.500 0.000
7 Mg 0.500 0.000 0.000
8 Mg 0.500 0.500 0.500
9 Hg 0.250 0.250 0.750
10 Hg 0.250 0.750 0.250
11 Hg 0.750 0.250 0.250
12 Hg 0.750 0.750 0.750

Output
**Crystal system**: cubic
**Calculated total energy**: -0.0885 hartree per atom
**Space group**: F-43m

No. 2
First-principles (PBE) data for an optimized crystal structure of Sm2MgHg, as listed in OQMD via LeMat-Bulk.

a = 9.549 Å, b = 7.859 Å, c = 5.838 Å
α = 90.00°, β = 90.00°, γ = 90.00°
Fractional positions:
1 Sm 0.186 0.154 0.250
2 Sm 0.186 0.846 0.750
3 Sm 0.314 0.346 0.750
4 Sm 0.314 0.654 0.250
5 Sm 0.686 0.346 0.750
6 Sm 0.686 0.654 0.250
7 Sm 0.814 0.154 0.250
8 Sm 0.814 0.846 0.750
9 Mg 0.000 0.500 0.000
10 Mg 0.000 0.500 0.500
11 Mg 0.500 0.000 0.000
12 Mg 0.500 0.000 0.500
13 Hg 0.000 0.179 0.750
14 Hg 0.000 0.821 0.250
15 Hg 0.500 0.321 0.250
16 Hg 0.500 0.679 0.750

Output
**Crystal system**: orthorhombic
**Calculated total energy**: -0.1131 hartree per atom
**Space group**: Cmcm

No. 3
First-principles (PBE) data for an optimized crystal structure of SmMgHg, as listed in OQMD via LeMat-Bulk.

a = 7.154 Å, b = 7.154 Å, c = 7.154 Å
α = 90.00°, β = 90.00°, γ = 90.00°
Fractional positions:
1 Sm 0.000 0.000 0.000
2 Sm 0.000 0.500 0.500
3 Sm 0.500 0.000 0.500
4 Sm 0.500 0.500 0.000
5 Mg 0.250 0.250 0.250
6 Mg 0.250 0.750 0.750
7 Mg 0.750 0.250 0.750
8 Mg 0.750 0.750 0.250
9 Hg 0.250 0.250 0.750
10 Hg 0.250 0.750 0.250
11 Hg 0.750 0.250 0.250
12 Hg 0.750 0.750 0.750

Output
**Crystal system**: cubic
**Calculated total energy**: -0.0740 hartree per atom
**Space group**: F-43m

No. 4
First-principles (PBE) data for an optimized crystal structure of Sm3Mg3Tl2Hg, as listed in OQMD via LeMat-Bulk.

a = 7.700 Å, b = 7.700 Å, c = 4.548 Å
α = 90.00°, β = 90.00°, γ = 120.00°
Fractional positions:
1 Sm 0.000 0.583 0.000
2 Sm 0.417 0.417 0.000
3 Sm 0.583 0.000 0.000
4 Mg 0.000 0.240 0.500
5 Mg 0.240 0.000 0.500
6 Mg 0.760 0.760 0.500
7 Tl 0.333 0.667 0.500
8 Tl 0.667 0.333 0.500
9 Hg 0.000 0.000 0.000

Output
**Crystal system**: hexagonal
**Calculated total energy**: -0.1116 hartree per atom
**Space group**: P-62m

No. 5
First-principles (PBE) data for an optimized crystal structure of Sm3Mg3Zn2Hg, as listed in OQMD via LeMat-Bulk.

a = 7.713 Å, b = 7.713 Å, c = 4.268 Å
α = 90.00°, β = 90.00°, γ = 120.00°
Fractional positions:
1 Sm 0.000 0.583 0.000
2 Sm 0.417 0.417 0.000
3 Sm 0.583 0.000 0.000
4 Mg 0.000 0.252 0.500
5 Mg 0.252 0.000 0.500
6 Mg 0.748 0.748 0.500
7 Zn 0.333 0.667 0.500
8 Zn 0.667 0.333 0.500
9 Hg 0.000 0.000 0.000

Output
**Crystal system**: hexagonal
**Calculated total energy**: -0.0995 hartree per atom
**Space group**: P-62m

No. 6
First-principles (PBE) data for an optimized crystal structure of MgSnHg2, as listed in OQMD via LeMat-Bulk.

a = 7.339 Å, b = 7.339 Å, c = 7.339 Å
α = 90.00°, β = 90.00°, γ = 90.00°
Fractional positions:
1 Mg 0.000 0.000 0.000
2 Mg 0.000 0.500 0.500
3 Mg 0.500 0.000 0.500
4 Mg 0.500 0.500 0.000
5 Sn 0.250 0.250 0.750
6 Sn 0.250 0.750 0.250
7 Sn 0.750 0.250 0.250
8 Sn 0.750 0.750 0.750
9 Hg 0.000 0.000 0.500
10 Hg 0.000 0.500 0.000
11 Hg 0.250 0.250 0.250
12 Hg 0.250 0.750 0.750
13 Hg 0.500 0.000 0.000
14 Hg 0.500 0.500 0.500
15 Hg 0.750 0.250 0.750
16 Hg 0.750 0.750 0.250

Output
**Crystal system**: cubic
**Calculated total energy**: -0.0554 hartree per atom
**Space group**: F-43m

No. 7
First-principles (PBE) data for an optimized crystal structure of Mg2SnHg, as listed in OQMD via LeMat-Bulk.

a = 7.270 Å, b = 7.270 Å, c = 7.270 Å
α = 90.00°, β = 90.00°, γ = 90.00°
Fractional positions:
1 Mg 0.000 0.000 0.000
2 Mg 0.000 0.500 0.500
3 Mg 0.250 0.250 0.250
4 Mg 0.250 0.750 0.750
5 Mg 0.500 0.000 0.500
6 Mg 0.500 0.500 0.000
7 Mg 0.750 0.250 0.750
8 Mg 0.750 0.750 0.250
9 Sn 0.000 0.000 0.500
10 Sn 0.000 0.500 0.000
11 Sn 0.500 0.000 0.000
12 Sn 0.500 0.500 0.500
13 Hg 0.250 0.250 0.750
14 Hg 0.250 0.750 0.250
15 Hg 0.750 0.250 0.250
16 Hg 0.750 0.750 0.750

Output
**Crystal system**: cubic
**Calculated total energy**: -0.0681 hartree per atom
**Space group**: F-43m

No. 8
First-principles (PBE) data for an optimized crystal structure of Mg3SnHg2, as listed in OQMD via LeMat-Bulk.

a = 3.373 Å, b = 3.373 Å, c = 11.666 Å
α = 90.00°, β = 90.00°, γ = 90.00°
Fractional positions:
1 Mg 0.000 0.000 0.000
2 Mg 0.000 0.000 0.317
3 Mg 0.000 0.000 0.683
4 Sn 0.500 0.500 0.500
5 Hg 0.500 0.500 0.160
6 Hg 0.500 0.500 0.840

Output
**Crystal system**: tetragonal
**Calculated total energy**: -0.0631 hartree per atom
**Space group**: P4/mmm

No. 9
First-principles (PBE) data for an optimized crystal structure of MgSn2Hg, as listed in OQMD via LeMat-Bulk.

a = 7.411 Å, b = 7.411 Å, c = 7.411 Å
α = 90.00°, β = 90.00°, γ = 90.00°
Fractional positions:
1 Mg 0.000 0.000 0.000
2 Mg 0.000 0.500 0.500
3 Mg 0.500 0.000 0.500
4 Mg 0.500 0.500 0.000
5 Sn 0.000 0.000 0.500
6 Sn 0.000 0.500 0.000
7 Sn 0.250 0.250 0.750
8 Sn 0.250 0.750 0.250
9 Sn 0.500 0.000 0.000
10 Sn 0.500 0.500 0.500
11 Sn 0.750 0.250 0.250
12 Sn 0.750 0.750 0.750
13 Hg 0.250 0.250 0.250
14 Hg 0.250 0.750 0.750
15 Hg 0.750 0.250 0.750
16 Hg 0.750 0.750 0.250

Output
**Crystal system**: cubic
**Calculated total energy**: -0.0909 hartree per atom
**Space group**: F-43m

No. 10
First-principles (PBE) data for an optimized crystal structure of SrMg2SnHg, as listed in OQMD via LeMat-Bulk.

a = 4.621 Å, b = 4.621 Å, c = 12.740 Å
α = 90.00°, β = 90.00°, γ = 90.00°
Fractional positions:
1 Sr 0.000 0.000 0.000
2 Sr 0.500 0.500 0.500
3 Mg 0.000 0.500 0.254
4 Mg 0.000 0.500 0.754
5 Mg 0.500 0.000 0.254
6 Mg 0.500 0.000 0.754
7 Sn 0.000 0.000 0.394
8 Sn 0.500 0.500 0.894
9 Hg 0.000 0.000 0.620
10 Hg 0.500 0.500 0.120

Output
**Crystal system**: tetragonal
**Calculated total energy**: -0.0824 hartree per atom
**Space group**: I4mm

No. 11
First-principles (PBE) data for an optimized crystal structure of SrMg4Hg2, as listed in OQMD via LeMat-Bulk.

a = 8.676 Å, b = 8.676 Å, c = 4.658 Å
α = 90.00°, β = 90.00°, γ = 90.00°
Fractional positions:
1 Sr 0.000 0.000 0.000
2 Sr 0.500 0.500 0.500
3 Mg 0.091 0.345 0.500
4 Mg 0.155 0.591 0.000
5 Mg 0.345 0.091 0.500
6 Mg 0.409 0.845 0.000
7 Mg 0.591 0.155 0.000
8 Mg 0.655 0.909 0.500
9 Mg 0.845 0.409 0.000
10 Mg 0.909 0.655 0.500
11 Hg 0.215 0.785 0.500
12 Hg 0.285 0.285 0.000
13 Hg 0.715 0.715 0.000
14 Hg 0.785 0.215 0.500

Output
**Crystal system**: tetragonal
**Calculated total energy**: -0.0550 hartree per atom
**Space group**: P4_2/mnm

No. 12
First-principles (PBE) data for an optimized crystal structure of SrMgHg6, as listed in OQMD via LeMat-Bulk.

a = 6.668 Å, b = 6.668 Å, c = 5.099 Å
α = 90.00°, β = 90.00°, γ = 120.00°
Fractional positions:
1 Sr 0.000 0.000 0.000
2 Mg 0.333 0.667 0.500
3 Hg 0.011 0.505 0.000
4 Hg 0.349 0.174 0.500
5 Hg 0.495 0.505 0.000
6 Hg 0.495 0.989 0.000
7 Hg 0.826 0.174 0.500
8 Hg 0.826 0.651 0.500

Output
**Crystal system**: hexagonal
**Calculated total energy**: -0.0311 hartree per atom
**Space group**: P-6m2

No. 13
First-principles (PBE) data for an optimized crystal structure of SrMg2ZnHg, as listed in OQMD via LeMat-Bulk.

a = 4.500 Å, b = 4.500 Å, c = 12.616 Å
α = 90.00°, β = 90.00°, γ = 90.00°
Fractional positions:
1 Sr 0.000 0.000 0.000
2 Sr 0.500 0.500 0.500
3 Mg 0.000 0.500 0.257
4 Mg 0.000 0.500 0.757
5 Mg 0.500 0.000 0.257
6 Mg 0.500 0.000 0.757
7 Zn 0.000 0.000 0.392
8 Zn 0.500 0.500 0.892
9 Hg 0.000 0.000 0.609
10 Hg 0.500 0.500 0.109

Output
**Crystal system**: tetragonal
**Calculated total energy**: -0.0568 hartree per atom
**Space group**: I4mm

No. 14
First-principles (PBE) data for an optimized crystal structure of TbMgHg, as listed in OQMD via LeMat-Bulk.

a = 6.942 Å, b = 6.942 Å, c = 6.942 Å
α = 90.00°, β = 90.00°, γ = 90.00°
Fractional positions:
1 Tb 0.000 0.000 0.000
2 Tb 0.000 0.500 0.500
3 Tb 0.500 0.000 0.500
4 Tb 0.500 0.500 0.000
5 Mg 0.000 0.000 0.500
6 Mg 0.000 0.500 0.000
7 Mg 0.500 0.000 0.000
8 Mg 0.500 0.500 0.500
9 Hg 0.250 0.250 0.750
10 Hg 0.250 0.750 0.250
11 Hg 0.750 0.250 0.250
12 Hg 0.750 0.750 0.750

Output
**Crystal system**: cubic
**Calculated total energy**: -0.0870 hartree per atom
**Space group**: F-43m

No. 15
First-principles (PBE) data for an optimized crystal structure of MgHgTe2, as listed in OQMD via LeMat-Bulk.

a = 4.637 Å, b = 4.637 Å, c = 6.529 Å
α = 90.00°, β = 90.00°, γ = 90.00°
Fractional positions:
1 Mg 0.000 0.000 0.000
2 Hg 0.500 0.500 0.500
3 Te 0.000 0.500 0.241
4 Te 0.500 0.000 0.759

Output
**Crystal system**: tetragonal
**Calculated total energy**: -0.0934 hartree per atom
**Space group**: P-4m2
**Relative energy among the computed polymorphs**: 0 meV per atom

No. 16
First-principles (PBE) data for an optimized crystal structure of Mg6Tl2Hg, as listed in OQMD via LeMat-Bulk.

a = 8.050 Å, b = 8.050 Å, c = 3.683 Å
α = 90.00°, β = 90.00°, γ = 120.00°
Fractional positions:
1 Mg 0.000 0.374 0.000
2 Mg 0.000 0.731 0.500
3 Mg 0.269 0.269 0.500
4 Mg 0.374 0.000 0.000
5 Mg 0.626 0.626 0.000
6 Mg 0.731 0.000 0.500
7 Tl 0.333 0.667 0.500
8 Tl 0.667 0.333 0.500
9 Hg 0.000 0.000 0.000

Output
**Crystal system**: hexagonal
**Calculated total energy**: -0.0617 hartree per atom
**Space group**: P-62m

No. 17
First-principles (PBE) data for an optimized crystal structure of Y3Mg3TlHg2, as listed in OQMD via LeMat-Bulk.

a = 7.812 Å, b = 7.812 Å, c = 4.233 Å
α = 90.00°, β = 90.00°, γ = 120.00°
Fractional positions:
1 Y 0.000 0.414 0.000
2 Y 0.414 0.000 0.000
3 Y 0.586 0.586 0.000
4 Mg 0.000 0.745 0.500
5 Mg 0.255 0.255 0.500
6 Mg 0.745 0.000 0.500
7 Tl 0.000 0.000 0.000
8 Hg 0.333 0.667 0.500
9 Hg 0.667 0.333 0.500

Output
**Crystal system**: hexagonal
**Calculated total energy**: -0.1241 hartree per atom
**Space group**: P-62m

No. 18
First-principles (PBE) data for an optimized crystal structure of Y3Mg3Tl2Hg, as listed in OQMD via LeMat-Bulk.

a = 7.630 Å, b = 7.630 Å, c = 4.439 Å
α = 90.00°, β = 90.00°, γ = 120.00°
Fractional positions:
1 Y 0.000 0.419 0.000
2 Y 0.419 0.000 0.000
3 Y 0.581 0.581 0.000
4 Mg 0.000 0.759 0.500
5 Mg 0.241 0.241 0.500
6 Mg 0.759 0.000 0.500
7 Tl 0.333 0.667 0.500
8 Tl 0.667 0.333 0.500
9 Hg 0.000 0.000 0.000

Output
**Crystal system**: hexagonal
**Calculated total energy**: -0.1331 hartree per atom
**Space group**: P-62m

No. 19
First-principles (PBE) data for an optimized crystal structure of TmMgHg, as listed in OQMD via LeMat-Bulk.

a = 7.017 Å, b = 7.017 Å, c = 7.017 Å
α = 90.00°, β = 90.00°, γ = 90.00°
Fractional positions:
1 Tm 0.000 0.000 0.000
2 Tm 0.000 0.500 0.500
3 Tm 0.500 0.000 0.500
4 Tm 0.500 0.500 0.000
5 Mg 0.250 0.250 0.250
6 Mg 0.250 0.750 0.750
7 Mg 0.750 0.250 0.750
8 Mg 0.750 0.750 0.250
9 Hg 0.250 0.250 0.750
10 Hg 0.250 0.750 0.250
11 Hg 0.750 0.250 0.250
12 Hg 0.750 0.750 0.750

Output
**Crystal system**: cubic
**Calculated total energy**: -0.0688 hartree per atom
**Space group**: F-43m

No. 20
First-principles (PBE) data for an optimized crystal structure of TmMgHg, as listed in OQMD via LeMat-Bulk.

a = 6.789 Å, b = 6.789 Å, c = 6.789 Å
α = 90.00°, β = 90.00°, γ = 90.00°
Fractional positions:
1 Tm 0.000 0.000 0.000
2 Tm 0.000 0.500 0.500
3 Tm 0.500 0.000 0.500
4 Tm 0.500 0.500 0.000
5 Mg 0.250 0.250 0.750
6 Mg 0.250 0.750 0.250
7 Mg 0.750 0.250 0.250
8 Mg 0.750 0.750 0.750
9 Hg 0.000 0.000 0.500
10 Hg 0.000 0.500 0.000
11 Hg 0.500 0.000 0.000
12 Hg 0.500 0.500 0.500

Output
**Crystal system**: cubic
**Calculated total energy**: -0.0732 hartree per atom
**Space group**: F-43m